InMoF2: optimized geometry, PBE with a Hubbard U.

Output
E above lowest polymorph   148 meV/atom
SG   I-42d

Cell and atoms, written as CIF:
```
data_InMoF2
_chemical_formula_sum 'In2 Mo2 F4'
_space_group_name_H-M_alt 'P 1'
_space_group_IT_number 1
_space_group_name_Hall 'P 1'
_cell_length_a 4.588
_cell_length_b 4.588
_cell_length_c 8.286
_cell_angle_alpha 73.93
_cell_angle_beta 73.93
_cell_angle_gamma 90.00
loop_
_atom_site_label
_atom_site_fract_x
_atom_site_fract_y
_atom_site_fract_z
_atom_site_occupancy
In1 0.750 0.250 0.500 1
In2 0.000 0.000 0.000 1
F1 0.563 0.125 0.250 1
F2 0.187 0.625 0.250 1
F3 0.875 0.813 0.750 1
Mo1 0.500 0.500 0.000 1
Mo2 0.250 0.750 0.500 1
F4 0.375 0.437 0.750 1
```